Computed, not measured: a relaxed LiCr2SiO6 crystal at the PBE+U level of DFT.

Cell lengths 4.856, 4.874, 5.325 Å; angles 90.85, 116.60, 119.11 degrees
Space group P1 (No. 1)
Asymmetric unit:
Li 0.000 0.000 0.000 x1
Cr 0.570 0.291 0.852 x1
Cr 0.579 0.801 0.373 x1
Si 0.962 0.481 0.439 x1
O 0.068 0.223 0.632 x1
O 0.077 0.406 0.174 x1
O 0.413 0.846 0.630 x1
O 0.507 0.092 0.175 x1
O 0.764 0.672 0.178 x1
O 0.784 0.567 0.631 x1

Summary:
E: -72.75 eV per cell
volume: 94.0 Å³/cell